{"formula": "BaRuAu2", "functional": "GGA-PBE", "state": "relaxed", "n_ef_per_ev_atom": 1.063, "final_energy_ev_per_atom": -4.212, "formation_energy_mev_per_atom": 227, "relative_energy_ev_per_atom": 0.278, "lattice_angstrom": [[-1.506, 4.886, 1.185], [-4.218, -1.901, 2.478], [1.743, 1.087, 9.360]], "species": ["Ru", "Ru", "Au", "Au", "Au", "Au", "Ba", "Ba"], "fractional_positions": [[0.500, 0.500, 0.000], [0.250, 0.750, 0.500], [0.454, 0.125, 0.250], [0.296, 0.625, 0.250], [0.375, 0.546, 0.750], [0.875, 0.704, 0.750], [0.000, 0.000, 0.000], [0.750, 0.250, 0.500]]}



{"formula": "BaRuAu4", "functional": "GGA-PBE", "state": "relaxed", "n_ef_per_ev_atom": 1.458, "final_energy_ev_per_atom": -3.892, "formation_energy_mev_per_atom": 159, "lattice_angstrom": [[0.000, 4.026, 4.026], [4.026, 0.000, 4.026], [4.026, 4.026, 0.000]], "species": ["Ba", "Ru", "Au", "Au", "Au", "Au"], "fractional_positions": [[0.750, 0.750, 0.750], [0.000, 0.000, 0.000], [0.878, 0.374, 0.374], [0.374, 0.374, 0.878], [0.374, 0.878, 0.374], [0.374, 0.374, 0.374]]}



{"formula": "Ba2RuAu2", "functional": "GGA-PBE", "state": "relaxed", "n_ef_per_ev_atom": 1.270, "final_energy_ev_per_atom": -3.887, "formation_energy_mev_per_atom": 48, "relative_energy_ev_per_atom": 0.055, "lattice_angstrom": [[-5.157, -3.097, -2.040], [2.122, -5.330, 2.728], [-3.437, -3.246, 3.726]], "species": ["Ru", "Au", "Au", "Ba", "Ba"], "fractional_positions": [[0.000, 0.000, 0.000], [0.332, 0.332, 0.337], [0.668, 0.668, 0.663], [0.750, 0.250, 0.500], [0.250, 0.750, 0.500]]}